[1]
This record from Alexandria describes SrTePb2 at its PBEsol-relaxed geometry. The functional is meta-GGA SCAN.

Unit cell a=4.4205 b=4.4205 c=6.5000 alpha=90.00 beta=90.00 gamma=90.00
Atoms (fractional coordinates):
Sr (0.5000, 0.5000, 0.0000)
Pb (0.0000, 0.0000, 0.2644)
Pb (0.0000, 0.0000, 0.7356)
Te (0.5000, 0.5000, 0.5000)

Computed properties:
**Space-group type**: No. 123
**ρ**: 8.23 g cm⁻³
**DOS at the Fermi energy**: 2.60 states/eV/f.u.

=====

[2]
This record from Alexandria describes MgCdPb at its PBEsol-relaxed geometry. The functional is meta-GGA SCAN.

Unit cell a=3.3714 b=3.3714 c=7.4838 alpha=90.00 beta=90.00 gamma=120.00
Atoms (fractional coordinates):
Mg (0.6667, 0.3333, 0.6785)
Pb (0.3333, 0.6667, 0.3354)
Cd (0.0000, 0.0000, 0.9861)

Computed properties:
**Space-group type**: No. 156
**ρ**: 7.75 g cm⁻³
**DOS at the Fermi energy**: 0.69 states/eV/f.u.
**DFT formation energy**: -0.16 eV/f.u.

=====

[3]
This record from Alexandria describes YIn2Co at its PBEsol-relaxed geometry. The functional is meta-GGA SCAN.

Unit cell a=3.2300 b=3.2300 c=7.4650 alpha=90.00 beta=90.00 gamma=90.00
Site moments in Bohr magnetons follow the coordinates.
Atoms (fractional coordinates):
Co (0.5000, 0.5000, 0.5000)  1.54
In (0.0000, 0.0000, 0.3020)  -0.02
In (0.0000, 0.0000, 0.6980)  -0.02
Y (0.5000, 0.5000, 0.0000)  0.39

Computed properties:
**Space-group type**: No. 123
**ρ**: 8.05 g cm⁻³
**DOS at the Fermi energy**: 2.31 states/eV/f.u.
**DFT formation energy**: -0.80 eV/f.u.

=====

[4]
This record from Alexandria describes CaCdAsBr2 at its PBEsol-relaxed geometry. The functional is meta-GGA SCAN.

Unit cell a=5.3680 b=5.3680 c=5.9304 alpha=90.00 beta=90.00 gamma=90.00
Site moments in Bohr magnetons follow the coordinates.
Atoms (fractional coordinates):
As (0.0000, 0.0000, 0.5000)  0.72
Cd (0.5000, 0.5000, 0.5000)  -0.14
Ca (0.0000, 0.0000, 0.0000)  0.00
Br (0.5000, 0.0000, 0.0000)  0.04
Br (0.0000, 0.5000, 0.0000)  0.04

Computed properties:
**Space-group type**: No. 123
**ρ**: 3.76 g cm⁻³
**DOS at the Fermi energy**: 1.66 states/eV/f.u.

=====

[5]
This record from Alexandria describes SrCrCu at its PBEsol-relaxed geometry. The functional is meta-GGA SCAN.

Unit cell a=3.4195 b=3.4195 c=5.9605 alpha=106.68 beta=106.68 gamma=89.98
Site moments in Bohr magnetons follow the coordinates.
Atoms (fractional coordinates):
Sr (0.6713, 0.6713, 0.3426)  -0.01
Cu (0.3757, 0.3757, 0.7513)  0.12
Cr (0.9530, 0.9530, 0.9061)  3.73

Computed properties:
**Space-group type**: No. 107
**Relative energy among the computed polymorphs**: 0.0805 eV per atom
**ρ**: 5.30 g cm⁻³
**DOS at the Fermi energy**: 2.44 states/eV/f.u.
**DFT formation energy**: 1.11 eV/f.u.

=====

[6]
This record from Alexandria describes SrHf2SnTe at its PBEsol-relaxed geometry. The functional is meta-GGA SCAN.

Unit cell a=5.1903 b=5.1903 c=5.5881 alpha=90.00 beta=90.00 gamma=90.00
Atoms (fractional coordinates):
Sn (0.0000, 0.0000, 0.5000)
Sr (0.0000, 0.0000, 0.0000)
Te (0.5000, 0.5000, 0.5000)
Hf (0.0000, 0.5000, 0.0000)
Hf (0.5000, 0.0000, 0.0000)

Computed properties:
**Space-group type**: No. 123
**ρ**: 7.62 g cm⁻³
**DOS at the Fermi energy**: 3.27 states/eV/f.u.

=====

[7]
This record from Alexandria describes KZr2MnCo at its PBEsol-relaxed geometry. The functional is meta-GGA SCAN.

Unit cell a=4.8573 b=4.8046 c=4.8046 alpha=90.00 beta=90.00 gamma=90.00
Site moments in Bohr magnetons follow the coordinates.
Atoms (fractional coordinates):
Mn (0.5000, 0.0000, 0.0000)  4.14
Co (0.0000, 0.0000, 0.0000)  0.26
Zr (0.0000, 0.5000, 0.0000)  -0.30
Zr (0.0000, 0.0000, 0.5000)  -0.30
K (0.5000, 0.5000, 0.5000)  -0.01

Computed properties:
**Space-group type**: No. 123
**ρ**: 4.97 g cm⁻³
**DOS at the Fermi energy**: 4.44 states/eV/f.u.
**DFT formation energy**: 2.54 eV/f.u.

=====

[8]
This record from Alexandria describes ZrOsPb at its PBEsol-relaxed geometry. The functional is meta-GGA SCAN.

Unit cell a=3.2770 b=3.2770 c=6.8037 alpha=90.00 beta=90.00 gamma=120.00
Atoms (fractional coordinates):
Pb (0.6667, 0.3333, 0.6831)
Os (0.0000, 0.0000, 0.0278)
Zr (0.3333, 0.6667, 0.2892)

Computed properties:
**Space-group type**: No. 156
**Relative energy among the computed polymorphs**: 0.2016 eV per atom
**ρ**: 12.82 g cm⁻³
**DOS at the Fermi energy**: 1.67 states/eV/f.u.
**DFT formation energy**: 0.74 eV/f.u.

=====

E_tot across the listed records, respectively: -53.165, -37.111, -28.180, -20.358, -18.249, -42.357, -20.548, -59.208 eV per atom.
Spin magnetization across the listed records, respectively: 0.0, 0.0, 2.0, 1.6, 4.2, 0.0, 3.6, 0.0 Bohr magnetons per cell.